## NiRu3O (PBE with a Hubbard U)

Data for a geometry-optimized NiRu3O structure.

CIF file:
```
data_NiRu3O
_space_group_name_H-M_alt 'P m -3 m'
_space_group_IT_number 221
_space_group_name_Hall '-P 4 2 3'
_cell_length_a 4.004
_cell_length_b 4.004
_cell_length_c 4.004
_cell_angle_alpha 90.00
_cell_angle_beta 90.00
_cell_angle_gamma 90.00
loop_
_atom_site_label
_atom_site_type_symbol
_atom_site_fract_x
_atom_site_fract_y
_atom_site_fract_z
_atom_site_occupancy
Ni1 Ni 0.000 0.000 0.000 1
Ru1 Ru 0.000 0.500 0.500 1
O1 O 0.500 0.500 0.500 1
```

Results
* total moment: 2.28 μB/f.u.
* energy: -6.4009 eV/atom